Cu3Ni2 | meta-GGA SCAN | PBEsol geometry

The value obtained for the energy of formation from the pure elements is 0.131 eV per atom. For the distance to the lowest polymorph of the same formula, the calculation gives 90 meV per atom. The density of states at the Fermi level comes out at 0.8223 states/eV/atom.

It has space group Fdd2 (No. 43), with a = 8.389 Å, b = 12.023 Å, c = 4.343 Å, α = 90.00°, β = 90.00° and γ = 90.00°. Symmetry generates all atoms from Cu at (0.000, 0.000, 0.000), Cu at (0.029, 0.100, 0.487) and Ni at (0.017, 0.201, 0.966).